No. 1
Zr2Cd3Hg2: relaxed, GGA-PBE.

Calculated values
**DOS(E_F)**: 0.67 states/eV/atom
**Calculated density**: 9.87 g cm⁻³
**Calculated formation energy**: -0.01 eV per atom
**Crystal system**: monoclinic
**Magnetic moment**: 0.000 μB per formula unit
**Excess energy over the best structure of this formula in the dataset**: 0 meV/atom

a = 10.881 Å, b = 5.032 Å, c = 5.837 Å
α = 90.00°, β = 104.11°, γ = 90.00°
Sites, in units of the cell vectors:
Zr  0.077  0.000  0.296
Zr  0.423  0.500  0.704
Zr  0.577  0.500  0.296
Zr  0.923  0.000  0.704
Cd  0.000  0.500  0.000
Cd  0.211  0.000  0.854
Cd  0.289  0.500  0.146
Cd  0.500  0.000  0.000
Cd  0.711  0.500  0.854
Cd  0.789  0.000  0.146
Hg  0.138  0.500  0.582
Hg  0.362  0.000  0.418
Hg  0.638  0.000  0.582
Hg  0.862  0.500  0.418

No. 2
ZrCd3Hg: relaxed, GGA-PBE.

Calculated values
**DOS(E_F)**: 0.67 states/eV/atom
**Calculated density**: 9.31 g cm⁻³
**Calculated formation energy**: -0.04 eV per atom
**Crystal system**: triclinic
**Magnetic moment**: 0.002 μB per formula unit
**Excess energy over the best structure of this formula in the dataset**: 0 meV/atom

a = 3.133 Å, b = 7.404 Å, c = 10.277 Å
α = 75.53°, β = 81.27°, γ = 77.87°
Sites, in units of the cell vectors:
Zr  0.036  0.095  0.337
Zr  0.964  0.905  0.663
Cd  0.338  0.293  0.535
Cd  0.383  0.490  0.250
Cd  0.411  0.733  0.950
Cd  0.589  0.267  0.050
Cd  0.617  0.510  0.750
Cd  0.662  0.707  0.465
Hg  0.261  0.140  0.831
Hg  0.739  0.860  0.169

No. 3
Zr11Cd9Hg4: relaxed, GGA-PBE.

Calculated values
**DOS(E_F)**: 1.00 states/eV/atom
**Calculated density**: 8.87 g cm⁻³
**Calculated formation energy**: -0.08 eV per atom
**Crystal system**: orthorhombic
**Magnetic moment**: 0.000 μB per formula unit

a = 13.597 Å, b = 13.597 Å, c = 3.171 Å
α = 90.00°, β = 90.00°, γ = 115.84°
Sites, in units of the cell vectors:
Zr  0.000  0.000  0.000
Zr  0.038  0.404  0.000
Zr  0.182  0.818  0.000
Zr  0.232  0.232  0.000
Zr  0.374  0.626  0.000
Zr  0.404  0.038  0.000
Zr  0.596  0.962  0.000
Zr  0.626  0.374  0.000
Zr  0.768  0.768  0.000
Zr  0.818  0.182  0.000
Zr  0.962  0.596  0.000
Cd  0.022  0.202  0.500
Cd  0.170  0.618  0.500
Cd  0.202  0.022  0.500
Cd  0.382  0.830  0.500
Cd  0.500  0.500  0.500
Cd  0.618  0.170  0.500
Cd  0.798  0.978  0.500
Cd  0.830  0.382  0.500
Cd  0.978  0.798  0.500
Hg  0.239  0.424  0.500
Hg  0.424  0.239  0.500
Hg  0.576  0.761  0.500
Hg  0.761  0.576  0.500

No. 4
Zr2CdHg2: relaxed, GGA-PBE.

Calculated values
**DOS(E_F)**: 1.21 states/eV/atom
**Calculated density**: 9.75 g cm⁻³
**Calculated formation energy**: 0.10 eV per atom
**Crystal system**: tetragonal
**Magnetic moment**: 0.010 μB per formula unit
**Excess energy over the best structure of this formula in the dataset**: 194 meV/atom

a = 8.498 Å, b = 8.498 Å, c = 3.282 Å
α = 90.00°, β = 90.00°, γ = 90.00°
Sites, in units of the cell vectors:
Zr  0.127  0.373  0.000
Zr  0.373  0.873  0.000
Zr  0.627  0.127  0.000
Zr  0.873  0.627  0.000
Cd  0.000  0.000  0.000
Cd  0.500  0.500  0.000
Hg  0.171  0.671  0.500
Hg  0.329  0.171  0.500
Hg  0.671  0.829  0.500
Hg  0.829  0.329  0.500

No. 5
Zr4Cd2Hg5: relaxed, GGA-PBE.

Calculated values
**DOS(E_F)**: 0.76 states/eV/atom
**Calculated density**: 10.79 g cm⁻³
**Calculated formation energy**: -0.04 eV per atom
**Crystal system**: triclinic
**Magnetic moment**: 0.000 μB per formula unit

a = 5.399 Å, b = 7.029 Å, c = 7.287 Å
α = 107.54°, β = 102.27°, γ = 102.93°
Sites, in units of the cell vectors:
Zr  0.025  0.176  0.403
Zr  0.213  0.895  0.050
Zr  0.787  0.105  0.950
Zr  0.975  0.824  0.597
Cd  0.441  0.652  0.700
Cd  0.559  0.348  0.300
Hg  0.126  0.539  0.246
Hg  0.312  0.267  0.859
Hg  0.500  0.000  0.500
Hg  0.688  0.733  0.141
Hg  0.874  0.461  0.754

No. 6
Zr3Cd4Hg2: relaxed, GGA-PBE.

Calculated values
**DOS(E_F)**: 0.89 states/eV/atom
**Calculated density**: 9.63 g cm⁻³
**Calculated formation energy**: -0.08 eV per atom
**Crystal system**: monoclinic
**Magnetic moment**: 0.000 μB per formula unit

a = 5.792 Å, b = 5.792 Å, c = 8.983 Å
α = 119.16°, β = 119.16°, γ = 49.68°
Sites, in units of the cell vectors:
Zr  0.000  0.000  0.000
Zr  0.333  0.333  0.334
Zr  0.667  0.667  0.666
Cd  0.056  0.056  0.391
Cd  0.279  0.279  0.948
Cd  0.721  0.721  0.052
Cd  0.944  0.944  0.609
Hg  0.389  0.389  0.724
Hg  0.611  0.611  0.276

No. 7
ZrCd3Hg: relaxed, GGA-PBE.

Calculated values
**DOS(E_F)**: 0.52 states/eV/atom
**Calculated density**: 8.89 g cm⁻³
**Calculated formation energy**: 0.11 eV per atom
**Crystal system**: orthorhombic
**Magnetic moment**: 0.000 μB per formula unit
**Excess energy over the best structure of this formula in the dataset**: 146 meV/atom

a = 7.409 Å, b = 8.305 Å, c = 7.638 Å
α = 90.00°, β = 90.00°, γ = 90.00°
Sites, in units of the cell vectors:
Zr  0.186  0.250  0.105
Zr  0.314  0.750  0.605
Zr  0.686  0.250  0.395
Zr  0.814  0.750  0.895
Cd  0.124  0.750  0.220
Cd  0.138  0.539  0.868
Cd  0.138  0.961  0.868
Cd  0.362  0.039  0.368
Cd  0.362  0.461  0.368
Cd  0.376  0.250  0.720
Cd  0.624  0.750  0.280
Cd  0.638  0.539  0.632
Cd  0.638  0.961  0.632
Cd  0.862  0.039  0.132
Cd  0.862  0.461  0.132
Cd  0.876  0.250  0.780
Hg  0.000  0.000  0.500
Hg  0.000  0.500  0.500
Hg  0.500  0.000  0.000
Hg  0.500  0.500  0.000

No. 8
ZrCd2Hg3: relaxed, GGA-PBE.

Calculated values
**DOS(E_F)**: 0.42 states/eV/atom
**Calculated density**: 11.39 g cm⁻³
**Calculated formation energy**: -0.03 eV per atom
**Crystal system**: tetragonal
**Magnetic moment**: 0.000 μB per formula unit

a = 3.349 Å, b = 3.349 Å, c = 11.928 Å
α = 90.00°, β = 90.00°, γ = 90.00°
Sites, in units of the cell vectors:
Zr  0.000  0.000  0.000
Cd  0.000  0.000  0.330
Cd  0.000  0.000  0.670
Hg  0.500  0.500  0.164
Hg  0.500  0.500  0.500
Hg  0.500  0.500  0.836

What is the magnetic moment in the second record? 0.002 μB per formula unit

What is the calculated formation energy in the sixth record? -0.08 eV per atom

What is the formula in the fourth record? Zr2CdHg2

What did the third record say?
Zr11Cd9Hg4: relaxed, GGA-PBE.

Calculated values
**DOS(E_F)**: 1.00 states/eV/atom
**Calculated density**: 8.87 g cm⁻³
**Calculated formation energy**: -0.08 eV per atom
**Crystal system**: orthorhombic
**Magnetic moment**: 0.000 μB per formula unit

a = 13.597 Å, b = 13.597 Å, c = 3.171 Å
α = 90.00°, β = 90.00°, γ = 115.84°
Sites, in units of the cell vectors:
Zr  0.000  0.000  0.000
Zr  0.038  0.404  0.000
Zr  0.182  0.818  0.000
Zr  0.232  0.232  0.000
Zr  0.374  0.626  0.000
Zr  0.404  0.038  0.000
Zr  0.596  0.962  0.000
Zr  0.626  0.374  0.000
Zr  0.768  0.768  0.000
Zr  0.818  0.182  0.000
Zr  0.962  0.596  0.000
Cd  0.022  0.202  0.500
Cd  0.170  0.618  0.500
Cd  0.202  0.022  0.500
Cd  0.382  0.830  0.500
Cd  0.500  0.500  0.500
Cd  0.618  0.170  0.500
Cd  0.798  0.978  0.500
Cd  0.830  0.382  0.500
Cd  0.978  0.798  0.500
Hg  0.239  0.424  0.500
Hg  0.424  0.239  0.500
Hg  0.576  0.761  0.500
Hg  0.761  0.576  0.500